5
Lattice="4.888 0.000 0.000 0.000 4.888 0.000 0.000 0.000 4.888" Properties=species:S:1:pos:R:3 comment="GGA-PBE TaRe3Cl, optimized geometry" raw_formation_energy_kcal_per_mol_atoms=62.2 n_ef_per_ev_atom=1.61 dft_energy_ev_per_atom=-7.512 magmom_total_mub_per_fu=4.4 pbc="T T T"
Ta 0.000 0.000 0.000
Re 0.000 0.000 2.444
Re 0.000 2.444 0.000
Re 2.444 0.000 0.000
Cl 2.444 2.444 2.444

***

10
Lattice="2.541 -7.218 0.000 2.541 7.218 0.000 0.000 0.000 3.715" Properties=species:S:1:pos:R:3 comment="GGA-PBE KGa2H7, optimized geometry" dft_energy_ev_per_atom=-3.004 magmom_total_mub_per_fu=0.0 pbc="T T T"
K 0.000 0.000 0.000
Ga 2.541 1.719 1.858
Ga 2.541 -1.719 1.858
H 1.066 2.246 1.858
H 1.066 -2.246 1.858
H 2.541 1.408 0.000
H 2.541 0.000 1.858
H 2.541 -1.408 0.000
H 4.015 2.246 1.858
H 4.015 -2.246 1.858